1.
## Hf2Cd (PBE-GGA)

Data for Hf2Cd after structural relaxation.

E, eV per atom: -6.936
Calculated density, g cm⁻³: 11.57
E_form, eV per atom: 0.01

Cell lengths 3.1961, 3.1961, 7.8386 Å; angles 78.24, 78.24, 60.00 degrees
Fractional coordinates of all 3 atoms:
Hf: 0.1173 0.1173 0.6482
Hf: 0.3454 0.3454 0.9637
Cd: 0.5645 0.5645 0.3065

2.
## HfCd4 (PBE-GGA)

Data for HfCd4 after structural relaxation.

E, eV per atom: -1.836
Calculated density, g cm⁻³: 5.74
E_form, eV per atom: 0.89

Cell lengths 5.6654, 5.6654, 5.6654 Å; angles 90.00, 90.00, 90.00 degrees
Fractional coordinates of all 5 atoms:
Hf: 0.5000 0.5000 0.5000
Cd: 0.0000 0.0000 0.0000
Cd: 0.5000 0.0000 0.5000
Cd: 0.0000 0.5000 0.5000
Cd: 0.5000 0.5000 0.0000

3.
## Hf5Cd (PBE-GGA)

Data for Hf5Cd after structural relaxation.

E, eV per atom: -8.432
Calculated density, g cm⁻³: 12.64
E_form, eV per atom: 0.01

Cell lengths 4.4495, 4.4790, 6.9914 Å; angles 108.68, 90.00, 90.00 degrees
Fractional coordinates of all 6 atoms:
Hf: 0.0000 0.6682 0.3365
Hf: 0.0000 0.3318 0.6635
Hf: 0.5000 0.5000 0.0000
Hf: 0.5000 0.1683 0.3365
Hf: 0.5000 0.8317 0.6635
Cd: 0.0000 0.0000 0.0000

4.
## HfCd5 (PBE-GGA)

Data for HfCd5 after structural relaxation.

E, eV per atom: -2.396
Calculated density, g cm⁻³: 9.53
E_form, eV per atom: 0.03

Cell lengths 4.5046, 4.4483, 6.8147 Å; angles 109.05, 90.00, 90.00 degrees
Fractional coordinates of all 6 atoms:
Hf: 0.0000 0.0000 0.0000
Cd: 0.0000 0.6700 0.3401
Cd: 0.0000 0.3300 0.6599
Cd: 0.5000 0.5000 0.0000
Cd: 0.5000 0.1608 0.3216
Cd: 0.5000 0.8392 0.6784

> What is the formula in the first record?

Hf2Cd

> What is the E_form in the third record?

0.01 eV per atom